# 1
First-principles (PBE) data for a geometry-optimized K3CoN structure, as listed in Alexandria via LeMat-Bulk.

**Energy**: -2.755 eV per atom
**SG**: Pm-3m (221)
**Energy above the lowest structure with this stoichiometry**: 0 kJ/mol of formula units
**Uncorrected formation energy**: 0.990 eV/atom

Cell lengths 5.5096, 5.5096, 5.5096 Å; angles 90.00, 90.00, 90.00 degrees
Element x y z (fractional)
K  0.0000  0.0000  0.5000
K  0.0000  0.5000  0.0000
K  0.5000  0.0000  0.0000
Co  0.5000  0.5000  0.5000
N  0.0000  0.0000  0.0000

# 2
First-principles (PBE) data for a geometry-optimized SnSb2TeAu structure, as listed in Alexandria via LeMat-Bulk.

**Energy**: -3.265 eV per atom
**SG**: P4/mmm (123)
**Energy above the lowest structure with this stoichiometry**: 0 kJ/mol of formula units
**Uncorrected formation energy**: 0.469 eV/atom

Cell lengths 5.3716, 5.3716, 5.5643 Å; angles 90.00, 90.00, 90.00 degrees
Element x y z (fractional)
Sn  0.0000  0.0000  0.0000
Sb  0.0000  0.5000  0.5000
Sb  0.5000  0.0000  0.5000
Te  0.5000  0.5000  0.0000
Au  0.5000  0.5000  0.5000

# 3
First-principles (PBE) data for a geometry-optimized Ba2Cu3AgAs4 structure, as listed in Alexandria via LeMat-Bulk.

**Energy**: -4.263 eV per atom
**SG**: P-4m2 (115)
**Energy relative to the elements**: -504 meV/atom

Cell lengths 4.5370, 4.5370, 10.3504 Å; angles 90.00, 90.00, 90.00 degrees
Element x y z (fractional)
Ba  0.0000  0.5000  0.2478
Ba  0.5000  0.0000  0.7522
Cu  0.0000  0.5000  0.8861
Cu  0.5000  0.0000  0.1139
Cu  0.5000  0.5000  0.5000
Ag  0.0000  0.0000  0.5000
As  0.0000  0.0000  0.0000
As  0.0000  0.5000  0.6379
As  0.5000  0.0000  0.3621
As  0.5000  0.5000  0.0000

| no. | calculated volume (Å³/cell) | density of states at the Fermi level (states/eV/cell) |
| --- | --- | --- |
| 1 | 167.25 | 15.76 |
| 2 | 160.56 | 5.55 |
| 3 | 213.06 | 4.55 |